Here is a geometry-optimized LaHRu3 structure from the Alexandria database. Energies are from PBE.

```
LaHRu3
1.0
4.157 0.000 0.000
0.000 4.157 0.000
0.000 0.000 4.157
La H Ru
1 1 3
Direct
0.000 0.000 0.000
0.500 0.500 0.500
0.000 0.500 0.500
0.500 0.000 0.500
0.500 0.500 0.000
```

Summary:
relative energy among the computed polymorphs = 0.000 eV per atom
SG = Pm-3m, No. 221

Here is a geometry-optimized LaH8Ru2 structure from the Alexandria database. Energies are from PBE.

```
LaH8Ru2
1.0
2.690 -4.349 0.000
2.690 4.349 0.000
-0.092 0.000 3.722
La H Ru
1 8 2
Direct
0.000 0.000 0.000
0.030 0.326 0.511
0.304 0.696 0.000
0.326 0.030 0.511
0.449 0.449 0.262
0.551 0.551 0.738
0.674 0.970 0.489
0.696 0.304 0.000
0.970 0.674 0.489
0.326 0.674 0.500
0.674 0.326 0.500
```

Summary:
SG = C2/m, No. 12
total DFT energy (no corrections) = -4.793 eV/atom

Here is a geometry-optimized LaH2Ru structure from the Alexandria database. Energies are from PBE.

```
LaH2Ru
1.0
3.165 0.000 0.000
0.020 4.188 0.000
0.210 1.197 4.014
La H Ru
1 2 1
Direct
0.000 0.000 0.000
0.010 0.356 0.356
0.990 0.644 0.644
0.500 0.500 0.500
```

Summary:
relative energy among the computed polymorphs = 0.000 eV per atom
SG = P-1, No. 2

Number 2 is which compound?
LaH8Ru2

Which formula does entry 2 have?
LaH8Ru2